[1]
# Cs3Ce2TlTe6

A relaxed structure of Cs3Ce2TlTe6 (PBE-GGA, the Alexandria database).

Output
The calculation puts the total energy at -4.08 eV/atom. As for the density of states at the Fermi level: 0.159 states/eV/cell.

a b c (Å): 8.2757 8.2757 9.1833
angles (deg): 98.61 98.61 119.85
Site moments in Bohr magnetons follow the coordinates.
Fractional coordinates of all 12 atoms:
Ce: 0.3321 0.6679 0.0000  0.19
Ce: 0.6679 0.3321 0.0000  0.19
Te: 0.4302 0.0650 0.1932  -0.01
Te: 0.5698 0.9350 0.8068  -0.01
Te: 0.6989 0.6989 0.1870  -0.01
Te: 0.9350 0.5698 0.8068  -0.01
Te: 0.3011 0.3011 0.8130  -0.01
Te: 0.0650 0.4302 0.1932  -0.01
Cs: 0.1549 0.8451 0.5000  0.00
Cs: 0.8451 0.1549 0.5000  0.00
Cs: 0.5000 0.5000 0.5000  0.00
Tl: 0.0000 0.0000 0.0000  0.00



[2]
# Cs3CeTm3Te8

A relaxed structure of Cs3CeTm3Te8 (PBE-GGA, the Alexandria database).

Output
The calculation puts the total energy at -4.47 eV/atom. As for the density of states at the Fermi level: 0.122 states/eV/cell.

a b c (Å): 8.9168 8.9170 10.4428
angles (deg): 115.29 90.00 120.00
Site moments in Bohr magnetons follow the coordinates.
Fractional coordinates of all 15 atoms:
Te: 0.2711 0.5422 0.3134  0.00
Te: 0.7682 0.5365 0.3124  -0.01
Te: 0.7683 0.0440 0.3125  -0.01
Te: 0.2318 0.4635 0.6876  -0.01
Te: 0.7289 0.4578 0.6866  0.00
Te: 0.2317 0.9560 0.6875  -0.01
Te: 0.7242 0.9560 0.6875  -0.01
Te: 0.2758 0.0440 0.3125  -0.01
Tm: 0.5000 0.5000 0.5000  0.00
Tm: 0.0000 0.5000 0.5000  0.00
Tm: 0.5000 0.0000 0.5000  0.00
Cs: 0.0000 0.5000 0.0000  0.00
Cs: 0.5000 0.5000 0.0000  0.00
Cs: 0.0000 0.0000 0.0000  0.00
Ce: 0.0000 0.0000 0.5000  0.17



[3]
# Cs3Ce2TmTe6

A relaxed structure of Cs3Ce2TmTe6 (PBE-GGA, the Alexandria database).

Output
The calculation puts the total energy at -4.49 eV/atom. As for the density of states at the Fermi level: 16.628 states/eV/cell.

a b c (Å): 8.0545 8.0545 9.3179
angles (deg): 98.29 98.29 119.99
Site moments in Bohr magnetons follow the coordinates.
Fractional coordinates of all 12 atoms:
Cs: 0.1697 0.8303 0.5000  0.00
Cs: 0.8303 0.1697 0.5000  0.00
Cs: 0.5000 0.5000 0.5000  0.00
Te: 0.6143 0.9365 0.8088  -0.01
Te: 0.7422 0.7422 0.1926  -0.01
Te: 0.3857 0.0635 0.1912  -0.01
Te: 0.9365 0.6143 0.8088  -0.01
Te: 0.2578 0.2578 0.8074  -0.01
Te: 0.0635 0.3857 0.1912  -0.01
Tm: 0.0000 0.0000 0.0000  0.00
Ce: 0.6663 0.3337 0.0000  0.98
Ce: 0.3337 0.6663 0.0000  0.98



[4]
# Cs3CeTm2Te6

A relaxed structure of Cs3CeTm2Te6 (PBE-GGA, the Alexandria database).

Output
The calculation puts the total energy at -4.37 eV/atom. As for the density of states at the Fermi level: 8.381 states/eV/cell.

a b c (Å): 7.9449 7.9449 9.2991
angles (deg): 98.19 98.19 119.98
Site moments in Bohr magnetons follow the coordinates.
Fractional coordinates of all 12 atoms:
Tm: 0.3331 0.6669 0.0000  0.00
Tm: 0.6669 0.3331 0.0000  0.00
Te: 0.4082 0.0633 0.1896  -0.01
Te: 0.5918 0.9367 0.8104  -0.01
Te: 0.7179 0.7179 0.1886  -0.01
Te: 0.9367 0.5918 0.8104  -0.01
Te: 0.2821 0.2821 0.8114  -0.01
Te: 0.0633 0.4082 0.1896  -0.01
Cs: 0.1639 0.8361 0.5000  0.00
Cs: 0.5000 0.5000 0.5000  0.00
Cs: 0.8361 0.1639 0.5000  0.00
Ce: 0.0000 0.0000 0.0000  0.99



[5]
# Cs3Ce3TmTe8

A relaxed structure of Cs3Ce3TmTe8 (PBE-GGA, the Alexandria database).

Output
The calculation puts the total energy at -4.67 eV/atom. As for the density of states at the Fermi level: 13.310 states/eV/cell.

a b c (Å): 9.1590 9.1590 10.5113
angles (deg): 115.84 90.00 120.00
Site moments in Bohr magnetons follow the coordinates.
Fractional coordinates of all 15 atoms:
Tm: 0.0000 0.0000 0.5000  -0.01
Te: 0.7312 0.4624 0.6935  -0.02
Te: 0.2257 0.9615 0.6872  -0.02
Te: 0.2258 0.4516 0.6872  -0.02
Te: 0.2688 0.5376 0.3065  -0.02
Te: 0.7743 0.0385 0.3128  -0.02
Te: 0.7742 0.5484 0.3128  -0.02
Te: 0.2642 0.0384 0.3128  -0.02
Te: 0.7358 0.9616 0.6872  -0.02
Cs: 0.0000 0.5000 0.0000  0.00
Cs: 0.0000 0.0000 0.0000  0.00
Cs: 0.5000 0.5000 0.0000  0.00
Ce: 0.5000 0.5000 0.5000  0.73
Ce: 0.0000 0.5000 0.5000  0.73
Ce: 0.5000 0.0000 0.5000  0.73



[6]
# Cs3CeU2Te6

A relaxed structure of Cs3CeU2Te6 (PBE-GGA, the Alexandria database).

Output
The calculation puts the total energy at -5.16 eV/atom. As for the density of states at the Fermi level: 22.441 states/eV/cell.

a b c (Å): 7.9916 7.9916 9.3732
angles (deg): 98.17 98.17 120.00
Site moments in Bohr magnetons follow the coordinates.
Fractional coordinates of all 12 atoms:
U: 0.3330 0.6670 0.0000  2.76
U: 0.6670 0.3330 0.0000  2.76
Te: 0.7244 0.7244 0.1923  -0.05
Te: 0.5960 0.9355 0.8068  -0.05
Te: 0.0645 0.4040 0.1932  -0.05
Te: 0.2756 0.2756 0.8077  -0.05
Te: 0.4040 0.0645 0.1932  -0.05
Te: 0.9355 0.5960 0.8068  -0.05
Cs: 0.1649 0.8351 0.5000  0.00
Cs: 0.8351 0.1649 0.5000  0.00
Cs: 0.5000 0.5000 0.5000  0.00
Ce: 0.0000 0.0000 0.0000  1.07



[7]
# Cs3CeY2Te6

A relaxed structure of Cs3CeY2Te6 (PBE-GGA, the Alexandria database).

Output
The calculation puts the total energy at -4.73 eV/atom. As for the density of states at the Fermi level: 8.232 states/eV/cell.

a b c (Å): 7.9972 7.9972 9.3116
angles (deg): 98.24 98.24 119.99
Site moments in Bohr magnetons follow the coordinates.
Fractional coordinates of all 12 atoms:
Te: 0.2782 0.2782 0.8094  -0.01
Te: 0.4055 0.0638 0.1913  -0.01
Te: 0.9362 0.5945 0.8087  -0.01
Te: 0.7218 0.7218 0.1906  -0.01
Te: 0.0638 0.4055 0.1913  -0.01
Te: 0.5945 0.9362 0.8087  -0.01
Y: 0.3332 0.6668 0.0000  0.00
Y: 0.6668 0.3332 0.0000  0.00
Cs: 0.1650 0.8350 0.5000  0.00
Cs: 0.8350 0.1650 0.5000  0.00
Cs: 0.5000 0.5000 0.5000  0.00
Ce: 0.0000 0.0000 0.0000  0.99



[8]
# Cs3Ce2ZrTe6

A relaxed structure of Cs3Ce2ZrTe6 (PBE-GGA, the Alexandria database).

Output
The calculation puts the total energy at -4.68 eV/atom. As for the density of states at the Fermi level: 17.079 states/eV/cell.

a b c (Å): 7.8860 7.8860 9.3486
angles (deg): 98.10 98.10 120.02
Site moments in Bohr magnetons follow the coordinates.
Fractional coordinates of all 12 atoms:
Cs: 0.5000 0.5000 0.5000  0.00
Cs: 0.1714 0.8286 0.5000  0.00
Cs: 0.8286 0.1714 0.5000  0.00
Te: 0.7501 0.7501 0.1930  -0.02
Te: 0.3783 0.0634 0.1907  -0.02
Te: 0.9366 0.6217 0.8093  -0.02
Te: 0.0634 0.3783 0.1907  -0.02
Te: 0.2499 0.2499 0.8070  -0.02
Te: 0.6217 0.9366 0.8093  -0.02
Ce: 0.3340 0.6660 0.0000  1.02
Ce: 0.6660 0.3340 0.0000  1.02
Zr: 0.0000 0.0000 0.0000  0.50



| no. | M_tot (μB per atom) |
| --- | --- |
| 1 | 0.02 |
| 2 | 0.01 |
| 3 | 0.17 |
| 4 | 0.08 |
| 5 | 0.13 |
| 6 | 0.58 |
| 7 | 0.08 |
| 8 | 0.25 |